Below is a relaxed structure of ZnTcB3, with properties calculated at the PBE level.

Geometry as CIF:
```
data_ZnTcB3
_chemical_formula_sum 'Zn1 Tc1 B3'
_cell_length_a 3.838
_cell_length_b 3.838
_cell_length_c 3.838
_cell_angle_alpha 90.00
_cell_angle_beta 90.00
_cell_angle_gamma 90.00
_symmetry_space_group_name_H-M 'P m -3 m'
_symmetry_Int_Tables_number 221
_symmetry_space_group_name_Hall '-P 4 2 3'
loop_
_atom_site_label
_atom_site_fract_x
_atom_site_fract_y
_atom_site_fract_z
Zn1 0.000 0.000 0.000
Tc1 0.500 0.500 0.500
B1 0.000 0.000 0.500
```

Results
The calculation puts the energy at -4.291 eV per atom. The energy of formation is 2.04 eV per atom. The value obtained for the density of states at the Fermi level is 4.79 states/eV/f.u.